Record 1
VASP calculation (GGA-PBE) on a relaxed structure of Tb7Tm4Mg.

```
Tb7Tm4Mg
1.0
5.899 -2.885 0.000
5.899 2.885 0.000
-5.500 0.000 11.313
Tb Tm Mg
7 4 1
Direct
0.000 0.000 0.000
0.134 0.134 0.476
0.297 0.297 0.080
0.404 0.404 0.724
0.596 0.596 0.276
0.703 0.703 0.920
0.866 0.866 0.524
0.131 0.131 0.774
0.353 0.353 0.371
0.647 0.647 0.629
0.869 0.869 0.226
0.500 0.500 0.000
```

Summary:
- Total moment: 0.0 μB per formula unit
- Energy relative to the lowest polymorph listed for this composition: 0.247 eV/atom
- E_form: 0.27 eV/atom

***

Record 2
VASP calculation (GGA-PBE) on a relaxed structure of ZnCu2HgS4.

```
ZnCu2HgS4
1.0
-2.737 2.737 5.429
2.737 -2.737 5.429
2.737 2.737 -5.429
Zn Cu Hg S
1 2 1 4
Direct
0.000 0.000 0.000
0.250 0.750 0.500
0.750 0.250 0.500
0.500 0.500 0.000
0.096 0.629 0.000
0.371 0.371 0.467
0.629 0.096 0.000
0.904 0.904 0.533
```

Summary:
- Total moment: 0.0 μB per formula unit
- Formation energy without anion corrections: -6.22 kcal/mol of atoms

***

Record 3
VASP calculation (GGA-PBE) on a relaxed structure of SrDy3Ag4.

```
SrDy3Ag4
1.0
5.236 0.000 0.000
0.000 5.236 0.000
0.000 0.000 7.371
Sr Dy Ag
1 3 4
Direct
0.000 0.000 0.000
0.000 0.000 0.500
0.500 0.500 0.000
0.500 0.500 0.500
0.000 0.500 0.269
0.000 0.500 0.731
0.500 0.000 0.269
0.500 0.000 0.731
```

Summary:
- Total moment: 0.0 μB per formula unit
- E_form: -0.28 eV/atom